A relaxed YTlCu2 crystal, computed with PBE.

The structure belongs to space group I-42d (No. 122); the cell edges are 4.503, 4.503 and 18.188 Å and the angles 90.00°, 90.00° and 90.00°. The asymmetric unit holds Y at (0.000, 0.000, 0.000), Tl at (0.000, 0.000, 0.500) and Cu at (0.122, 0.250, 0.625).

The calculation puts the formation energy at 0.2042 eV per atom. Its total energy is -4.0515 eV/atom.